The following is a GGA-PBE calculation of a relaxed structure of TbDyZr2Bi2, from OQMD.

The theoretical density comes out at 9.65 g/cm3. Its space group is I4mm. The calculated total energy comes out at -6.30 eV/atom.

Geometry as POSCAR:
```
TbDyZr2Bi2
1.0
4.331 0.000 0.000
0.000 4.331 0.000
0.000 0.000 16.925
Tb Dy Zr Bi
2 2 4 4
Direct
0.000 0.000 0.000
0.500 0.500 0.500
0.000 0.000 0.352
0.500 0.500 0.852
0.000 0.500 0.176
0.000 0.500 0.676
0.500 0.000 0.176
0.500 0.000 0.676
0.000 0.000 0.542
0.000 0.000 0.811
0.500 0.500 0.042
0.500 0.500 0.311
```